[1]
Compound: Dy16Tm7Sc6
Source: the Alexandria database
Functional: PBE
Structure: relaxed

a b c (Å): 15.407 15.407 15.407
angles (deg): 90.00 90.00 90.00
Space group Fm-3m (No. 225)
Asymmetric unit:
Dy (0.124, 0.124, 0.124)
Dy (0.143, 0.143, 0.357)
Tm (0.000, 0.000, 0.000)
Tm (0.000, 0.250, 0.250)
Sc (0.000, 0.000, 0.257)

The calculation puts the volume at 31.53 A^3/atom. The formation energy from the elements is 260 meV/atom.

***

[2]
Compound: DyTmSc2
Source: the Alexandria database
Functional: PBE
Structure: relaxed

a b c (Å): 3.733 3.733 8.070
angles (deg): 90.00 90.00 90.00
Space group P4mm (No. 99)
Asymmetric unit:
Dy (0.000, 0.000, 0.000)
Tm (0.500, 0.500, 0.306)
Sc (0.000, 0.000, 0.550)
Sc (0.500, 0.500, 0.748)

The calculation puts the volume at 28.11 A^3/atom. The formation energy from the elements is 77 meV/atom.

***

[3]
Compound: Dy2Tm3Sc6
Source: the Alexandria database
Functional: PBE
Structure: relaxed

a b c (Å): 3.3886 3.3886 89.9256
angles (deg): 90.00 90.00 120.00
Space group R-3m (No. 166, hexagonal axes)
Asymmetric unit:
Dy (0.0000, 0.0000, 0.0451)
Tm (0.0000, 0.0000, 0.2274)
Tm (0.0000, 0.0000, 0.5000)
Sc (0.0000, 0.0000, 0.1363)
Sc (0.0000, 0.0000, 0.3191)
Sc (0.0000, 0.0000, 0.4089)

The calculation puts the volume at 27.10 A^3/atom. The formation energy from the elements is 57 meV/atom.

***

[4]
Compound: DyTm4Sc
Source: the Alexandria database
Functional: PBE
Structure: relaxed

a b c (Å): 8.669 14.284 6.206
angles (deg): 90.00 110.01 90.00
Space group C2/c (No. 15)
Asymmetric unit:
Dy (0.000, 0.087, 0.250)
Tm (0.096, 0.307, 0.538)
Tm (0.209, 0.125, 0.877)
Sc (0.000, 0.500, 0.250)

The calculation puts the volume at 30.09 A^3/atom. The formation energy from the elements is 144 meV/atom.

***

[5]
Compound: Dy10Tm4Sc
Source: the Alexandria database
Functional: PBE
Structure: relaxed

a b c (Å): 9.656 9.656 10.252
angles (deg): 90.00 90.00 90.00
Space group I4/m (No. 87)
Asymmetric unit:
Dy (0.000, 0.500, 0.250)
Dy (0.111, 0.786, 0.161)
Tm (0.066, 0.675, 0.500)
Sc (0.000, 0.000, 0.500)

The calculation puts the volume at 31.86 A^3/atom. The formation energy from the elements is 377 meV/atom.

***

[6]
Compound: Dy2TmSc
Source: the Alexandria database
Functional: PBE
Structure: relaxed

a b c (Å): 7.789 7.789 7.789
angles (deg): 90.00 90.00 90.00
Space group Fm-3m (No. 225)
Asymmetric unit:
Dy (0.250, 0.250, 0.250)
Tm (0.000, 0.000, 0.000)
Sc (0.000, 0.000, 0.500)

The calculation puts the volume at 29.53 A^3/atom. The formation energy from the elements is 119 meV/atom.

***

[7]
Compound: DyTm6Sc4
Source: the Alexandria database
Functional: PBE
Structure: relaxed

a b c (Å): 7.923 7.923 10.906
angles (deg): 90.00 90.00 90.00
Space group I-42m (No. 121)
Asymmetric unit:
Dy (0.000, 0.000, 0.000)
Tm (0.000, 0.500, 0.000)
Tm (0.159, 0.159, 0.577)
Sc (0.206, 0.206, 0.301)

The calculation puts the volume at 31.12 A^3/atom. The formation energy from the elements is 572 meV/atom.

***

[8]
Compound: Dy4Tm5Sc
Source: the Alexandria database
Functional: PBE
Structure: relaxed

a b c (Å): 10.510 10.510 5.671
angles (deg): 90.00 90.00 90.00
Space group I4mm (No. 107)
Asymmetric unit:
Dy (0.000, 0.322, 0.000)
Tm (0.000, 0.000, 0.229)
Tm (0.187, 0.187, 0.508)
Sc (0.000, 0.000, 0.757)

The calculation puts the volume at 31.32 A^3/atom. The formation energy from the elements is 237 meV/atom.